No. 1
Density functional theory data (PBE) for LiAl2Re after structural relaxation.

Unit cell a=3.801 b=3.801 c=9.229 alpha=78.12 beta=78.12 gamma=90.00
Positions (direct):
Re1 0.000 0.000 0.000
Re2 0.750 0.250 0.500
Al1 0.641 0.125 0.250
Al2 0.109 0.625 0.250
Al3 0.375 0.359 0.750
Al4 0.875 0.891 0.750
Li1 0.500 0.500 0.000
Li2 0.250 0.750 0.500

DFT formation energy: 0.52 eV/atom

No. 2
Density functional theory data (PBE) for LiAl2Re after structural relaxation.

Unit cell a=4.746 b=4.746 c=4.746 alpha=133.33 beta=133.29 gamma=68.17
Positions (direct):
Re1 0.250 0.750 0.500
Al1 0.000 0.000 0.000
Al2 0.500 0.500 0.000
Li1 0.750 0.250 0.500

DFT formation energy: -0.18 eV/atom

No. 3
Density functional theory data (PBE) for LiAl2Re after structural relaxation.

Unit cell a=4.304 b=4.304 c=4.304 alpha=60.00 beta=60.00 gamma=60.00
Positions (direct):
Al1 0.000 0.000 0.000
Al2 0.250 0.250 0.250
Li1 0.500 0.500 0.500
Re1 0.750 0.750 0.750

DFT formation energy: 0.11 eV/atom

No. 4
Density functional theory data (PBE) for LiAl2Re after structural relaxation.

Unit cell a=5.184 b=5.184 c=5.184 alpha=146.80 beta=131.22 gamma=60.28
Positions (direct):
Al1 0.004 0.004 0.000
Al2 0.747 0.247 0.500
Li1 0.499 0.499 0.000
Re1 0.250 0.750 0.500

DFT formation energy: -0.10 eV/atom

No. 5
Density functional theory data (PBE) for LiAl2Re after structural relaxation.

Unit cell a=2.677 b=4.224 c=5.244 alpha=90.00 beta=90.00 gamma=90.00
Positions (direct):
Al1 0.000 0.000 0.966
Al2 0.500 0.500 0.271
Li1 0.000 0.000 0.495
Re1 0.500 0.500 0.768

DFT formation energy: 0.02 eV/atom

No. 6
Density functional theory data (PBE) for Li3AlRe after structural relaxation.

Unit cell a=4.277 b=4.277 c=4.277 alpha=90.00 beta=90.00 gamma=90.00
Positions (direct):
Re1 0.500 0.500 0.500
Al1 0.000 0.000 0.000
Li1 0.000 0.500 0.000
Li2 0.000 0.000 0.500
Li3 0.500 0.000 0.000

DFT formation energy: 1.37 eV/atom
Energy above the most stable polymorph in this dataset: 0 meV/atom